The following is a PBE calculation of a relaxed Sr2TaHg crystal, from Alexandria.

## Properties
- SG: I4/mmm
- Crystal system: tetragonal

The structure in extended XYZ format:
```
8
Lattice="4.898 0.000 0.000 0.000 4.898 0.000 0.000 0.000 9.741" Properties=species:S:1:pos:R:3 pbc="T T T"
Sr 0.000 2.449 2.435
Sr 0.000 2.449 7.306
Sr 2.449 0.000 2.435
Sr 2.449 0.000 7.306
Ta 0.000 0.000 0.000
Ta 2.449 2.449 4.871
Hg 0.000 0.000 4.871
Hg 2.449 2.449 0.000
```

=====

The following is a PBE calculation of a relaxed SrYTaHg2 crystal, from Alexandria.

## Properties
- SG: P4/mmm
- Crystal system: tetragonal

The structure in extended XYZ format:
```
5
Lattice="5.408 0.000 0.000 0.000 5.408 0.000 0.000 0.000 5.349" Properties=species:S:1:pos:R:3 pbc="T T T"
Sr 0.000 0.000 0.000
Y 2.704 2.704 0.000
Ta 0.000 0.000 2.674
Hg 0.000 2.704 2.674
Hg 2.704 0.000 2.674
```

=====

The following is a PBE calculation of a relaxed SrTb2Hg2 crystal, from Alexandria.

## Properties
- SG: Cmmm
- Crystal system: orthorhombic

The structure in extended XYZ format:
```
10
Lattice="3.887 0.000 0.000 0.000 20.946 0.000 0.000 0.000 3.821" Properties=species:S:1:pos:R:3 pbc="T T T"
Sr 0.000 0.000 0.000
Sr 1.943 10.473 0.000
Tb 0.000 3.735 0.000
Tb 0.000 17.211 0.000
Tb 1.943 6.738 0.000
Tb 1.943 14.208 0.000
Hg 0.000 8.234 1.911
Hg 0.000 12.712 1.911
Hg 1.943 2.239 1.911
Hg 1.943 18.707 1.911
```

=====

The following is a PBE calculation of a relaxed SrTbHg6 crystal, from Alexandria.

## Properties
- SG: Amm2
- Crystal system: orthorhombic

The structure in extended XYZ format:
```
16
Lattice="5.184 0.000 0.000 0.000 6.795 0.000 0.000 0.000 11.742" Properties=species:S:1:pos:R:3 pbc="T T T"
Sr 0.000 0.000 0.000
Sr 0.000 3.397 5.871
Tb 2.592 0.000 7.871
Tb 2.592 3.397 1.999
Hg 0.000 0.000 5.929
Hg 0.000 1.692 8.810
Hg 0.000 1.706 2.939
Hg 0.000 3.397 0.058
Hg 0.000 5.089 2.939
Hg 0.000 5.103 8.810
Hg 2.592 0.000 2.062
Hg 2.592 1.598 4.860
Hg 2.592 1.799 10.731
Hg 2.592 3.397 7.933
Hg 2.592 4.996 10.731
Hg 2.592 5.197 4.860
```

=====

The following is a PBE calculation of a relaxed SrTb2Hg6 crystal, from Alexandria.

## Properties
- SG: C2/m
- Crystal system: monoclinic

The structure in extended XYZ format:
```
9
Lattice="7.805 -4.213 0.000 7.805 4.213 0.000 -0.872 0.000 3.648" Properties=species:S:1:pos:R:3 pbc="T T T"
Sr 0.000 0.000 0.000
Tb 4.786 0.000 3.134
Tb 9.952 0.000 0.514
Hg 4.787 2.718 1.203
Hg 7.369 1.443 1.824
Hg 9.951 2.718 2.446
Hg 4.787 -2.718 1.203
Hg 7.369 -1.443 1.824
Hg 9.951 -2.718 2.446
```

=====

The following is a PBE calculation of a relaxed Sr2TbHg crystal, from Alexandria.

## Properties
- SG: P4/mmm
- Crystal system: tetragonal
- ΔE to the lowest computed polymorph: 0.0000 eV per atom

The structure in extended XYZ format:
```
4
Lattice="3.847 0.000 0.000 0.000 3.847 0.000 0.000 0.000 9.980" Properties=species:S:1:pos:R:3 pbc="T T T"
Sr 0.000 0.000 2.087
Sr 0.000 0.000 7.893
Tb 1.924 1.924 4.990
Hg 1.924 1.924 0.000
```

=====

The following is a PBE calculation of a relaxed Sr2TbHg crystal, from Alexandria.

## Properties
- SG: R-3m
- Crystal system: trigonal
- ΔE to the lowest computed polymorph: 0.2339 eV per atom

The structure in extended XYZ format:
```
12
Lattice="3.855 0.000 0.000 -1.927 3.338 0.000 0.000 0.000 36.508" Properties=species:S:1:pos:R:3 pbc="T T T"
Sr 0.000 0.000 3.601
Sr 0.000 0.000 32.908
Sr 0.000 2.225 20.738
Sr 0.000 2.225 27.939
Sr 1.927 1.113 8.569
Sr 1.927 1.113 15.770
Tb 0.000 0.000 0.000
Tb 0.000 2.225 24.339
Tb 1.927 1.113 12.169
Hg 0.000 0.000 18.254
Hg 0.000 2.225 6.085
Hg 1.927 1.113 30.423
```

=====

The following is a PBE calculation of a relaxed SrTb2Hg crystal, from Alexandria.

## Properties
- SG: R-3m
- Crystal system: trigonal
- ΔE to the lowest computed polymorph: 0.1830 eV per atom

The structure in extended XYZ format:
```
12
Lattice="3.734 0.000 0.000 -1.867 3.234 0.000 0.000 0.000 35.106" Properties=species:S:1:pos:R:3 pbc="T T T"
Sr 0.000 0.000 0.000
Sr 0.000 2.156 23.404
Sr 1.867 1.078 11.702
Tb 0.000 0.000 3.578
Tb 0.000 0.000 31.528
Tb 0.000 2.156 19.826
Tb 0.000 2.156 26.981
Tb 1.867 1.078 8.124
Tb 1.867 1.078 15.280
Hg 0.000 0.000 17.553
Hg 0.000 2.156 5.851
Hg 1.867 1.078 29.255
```

=====

| no. | energy relative to the elements (eV/atom) | uncorrected energy (eV/cell) |
| --- | --- | --- |
| 1 | 0.69 | -25.5 |
| 2 | 0.84 | -16.4 |
| 3 | -0.29 | -26.0 |
| 4 | -0.37 | -22.1 |
| 5 | -0.40 | -16.3 |
| 6 | -0.11 | -8.7 |
| 7 | 0.12 | -23.4 |
| 8 | 0.07 | -32.8 |